# GGA-PBEsol ZnTcOs2, relaxed
data_ZnTcOs2
_chemical_formula_sum 'Zn1 Tc1 Os2'
_space_group_name_H-M_alt 'P 4 m m'
_space_group_IT_number 99
_cell_length_a 2.717
_cell_length_b 2.717
_cell_length_c 7.512
_cell_angle_alpha 90.00
_cell_angle_beta 90.00
_cell_angle_gamma 90.00
loop_
_space_group_symop_operation_xyz
'x,y,z'
'-y,x,z'
'-x,-y,z'
'y,-x,z'
'-x,y,z'
'y,x,z'
'x,-y,z'
'-y,-x,z'
loop_
_atom_site_label
_atom_site_type_symbol
_atom_site_fract_x
_atom_site_fract_y
_atom_site_fract_z
Zn1 Zn 0.000 0.000 0.000
Tc1 Tc 0.500 0.500 0.745
Os1 Os 0.000 0.000 0.495
Os2 Os 0.500 0.500 0.250
# Theoretical density   16.29 Mg/m³
# Formation enthalpy at 0 K   65 kJ/mol of formula units
# Total energy   -9.152 eV per atom